DFT (PBE-GGA) results for a relaxed DyBe2SiRh crystal.

Unit cell a=3.8388 b=3.9039 c=9.8258 alpha=90.00 beta=90.00 gamma=90.00
Last column: nearest neighbours and their distance in Å.
Space group Imm2 (No. 44)
One atom of each set of equivalent atoms:
1 Dy 0.0000 0.0000 0.0000 [2 per cell]  4 Si 2.97, 8 Be 2.98-3.15, 4 Rh 3.09-3.16
2 Be 0.0000 0.0000 0.3797 [2 per cell]  2 Rh 2.27, 2 Be 2.32, 1 Si 2.34
3 Be 0.0000 0.5000 0.2516 [2 per cell]  2 Be 2.32, 2 Si 2.33
4 Si 0.0000 0.0000 0.6177 [2 per cell]  3 Be 2.33-2.34, 2 Rh 2.38
5 Rh 0.0000 0.5000 0.7557 [2 per cell]  2 Be 2.27, 2 Si 2.38

## Properties
Energy relative to the elements, uncorrected = -557 meV/atom


DFT (PBE-GGA) results for a relaxed Dy2BeSi2Rh5 crystal.

Unit cell a=9.6881 b=9.6881 c=3.3598 alpha=90.00 beta=90.00 gamma=90.00
Last column: nearest neighbours and their distance in Å.
Space group P4/mbm (No. 127)
One atom of each set of equivalent atoms:
1 Dy 0.1732 0.3268 0.0000 [4 per cell]  3 Si 2.73-2.95, 6 Rh 2.91-3.05
2 Be 0.0000 0.0000 0.0000 [2 per cell]  8 Rh 2.68
3 Si 0.1278 0.6278 0.0000 [4 per cell]  6 Rh 2.41-2.43
4 Rh 0.0000 0.5000 0.5000 [2 per cell]  4 Si 2.43
5 Rh 0.0662 0.7954 0.5000 [8 per cell]  2 Si 2.41, 2 Be 2.68

## Properties
Energy relative to the elements, uncorrected = -848 meV/atom


DFT (PBE-GGA) results for a relaxed Dy2Be4Si3Rh crystal.

Unit cell a=3.8121 b=3.8121 c=9.8568 alpha=90.00 beta=90.00 gamma=90.00
Last column: nearest neighbours and their distance in Å.
Space group P-4m2 (No. 115)
One atom of each set of equivalent atoms:
1 Dy 0.0000 0.5000 0.2459 [2 per cell]  6 Si 2.92-3.15, 8 Be 2.94-3.08, 2 Rh 3.15
2 Be 0.0000 0.0000 0.0000 [1 per cell]  4 Si 2.31
3 Be 0.0000 0.5000 0.6346 [2 per cell]  3 Si 2.29-2.32, 2 Rh 2.32
4 Be 0.5000 0.5000 0.0000 [1 per cell]  4 Si 2.31
5 Si 0.0000 0.5000 0.8668 [2 per cell]  5 Be 2.29-2.31
6 Si 0.5000 0.5000 0.5000 [1 per cell]  4 Be 2.32
7 Rh 0.0000 0.0000 0.5000 [1 per cell]  4 Be 2.32

## Properties
Energy relative to the elements, uncorrected = -542 meV/atom


DFT (PBE-GGA) results for a relaxed Dy2Be2SiRh5 crystal.

Unit cell a=9.6238 b=9.6238 c=3.1477 alpha=90.00 beta=90.00 gamma=90.00
Last column: nearest neighbours and their distance in Å.
Space group P4/mbm (No. 127)
One atom of each set of equivalent atoms:
1 Dy 0.1760 0.3240 0.0000 [4 per cell]  3 Be 2.75-2.92, 10 Rh 2.87-3.03
2 Be 0.1222 0.6222 0.0000 [4 per cell]  6 Rh 2.29-2.35
3 Si 0.0000 0.0000 0.0000 [2 per cell]  8 Rh 2.60
4 Rh 0.0000 0.5000 0.5000 [2 per cell]  4 Be 2.29
5 Rh 0.0649 0.7946 0.5000 [8 per cell]  2 Be 2.35, 2 Si 2.60

## Properties
Energy relative to the elements, uncorrected = -851 meV/atom


DFT (PBE-GGA) results for a relaxed Dy2Be2SnRh5 crystal.

Unit cell a=9.6838 b=9.6838 c=3.3244 alpha=90.00 beta=90.00 gamma=90.00
Last column: nearest neighbours and their distance in Å.
Space group P4/mbm (No. 127)
One atom of each set of equivalent atoms:
1 Dy 0.1765 0.3235 0.0000 [4 per cell]  3 Be 2.81-2.91, 10 Rh 2.93-3.08
2 Be 0.1185 0.6185 0.0000 [4 per cell]  6 Rh 2.32-2.35
3 Sn 0.0000 0.0000 0.0000 [2 per cell]  8 Rh 2.76
4 Rh 0.0000 0.5000 0.5000 [2 per cell]  4 Be 2.32
5 Rh 0.0687 0.7825 0.5000 [8 per cell]  2 Be 2.35

## Properties
DFT total energy = -65.672 eV per formula unit


DFT (PBE-GGA) results for a relaxed DyTmBeRh crystal.

Unit cell a=6.8032 b=6.8032 c=6.8032 alpha=90.00 beta=90.00 gamma=90.00
Last column: nearest neighbours and their distance in Å.
Space group F-43m (No. 216)
One atom of each set of equivalent atoms:
1 Dy 0.0000 0.0000 0.0000 [4 per cell]  4 Be 2.95, 4 Rh 2.95
2 Tm 0.0000 0.0000 0.5000 [4 per cell]  4 Be 2.95, 4 Rh 2.95
3 Be 0.2500 0.2500 0.7500 [4 per cell]  4 Dy 2.95, 4 Tm 2.95
4 Rh 0.2500 0.2500 0.2500 [4 per cell]  4 Dy 2.95, 4 Tm 2.95

## Properties
DFT total energy = -21.771 eV per formula unit


DFT (PBE-GGA) results for a relaxed Dy2BeZnRh2 crystal.

Unit cell a=5.7477 b=13.5298 c=5.6052 alpha=90.00 beta=90.00 gamma=90.00
Last column: nearest neighbours and their distance in Å.
Space group Ibam (No. 72)
One atom of each set of equivalent atoms:
1 Dy 0.2282 0.1687 0.0000 [8 per cell]  5 Rh 2.85-3.12, 2 Zn 2.98, 2 Be 3.10
2 Be 0.0000 0.5000 0.2500 [4 per cell]  4 Rh 2.36
3 Zn 0.0000 0.0000 0.2500 [4 per cell]  4 Rh 2.66, 2 Zn 2.80, 2 Be 2.87
4 Rh 0.2039 0.3896 0.0000 [8 per cell]  2 Be 2.36

## Properties
DFT total energy = -32.701 eV per formula unit


DFT (PBE-GGA) results for a relaxed DyBeRu crystal.

Unit cell a=3.2185 b=3.2185 c=9.5396 alpha=90.00 beta=90.00 gamma=90.00
Last column: nearest neighbours and their distance in Å.
Space group I4mm (No. 107)
One atom of each set of equivalent atoms:
1 Dy 0.0000 0.0000 0.0000 [2 per cell]  1 Be 2.71, 5 Ru 2.79-3.02
2 Be 0.0000 0.0000 0.7156 [2 per cell]  4 Ru 2.39
3 Ru 0.0000 0.0000 0.2921 [2 per cell]  4 Be 2.39

## Properties
DFT total energy = -18.314 eV per formula unit


DFT (PBE-GGA) results for a relaxed DyBe2Ru crystal.

Unit cell a=3.0946 b=3.0946 c=5.9643 alpha=90.00 beta=90.00 gamma=90.00
Last column: nearest neighbours and their distance in Å.
Space group P4/mmm (No. 123)
One atom of each set of equivalent atoms:
1 Dy 0.0000 0.0000 0.0000 [1 per cell]  8 Be 2.93, 2 Ru 2.98, 4 Dy 3.09
2 Be 0.5000 0.5000 0.3277 [2 per cell]  1 Be 2.06
3 Ru 0.0000 0.0000 0.5000 [1 per cell]  8 Be 2.42

## Properties
DFT total energy = -22.109 eV per formula unit


DFT (PBE-GGA) results for a relaxed DyBeRu crystal.

Unit cell a=3.8283 b=3.8283 c=12.9233 alpha=90.00 beta=90.00 gamma=120.00
Last column: nearest neighbours and their distance in Å.
Space group R3m (No. 160, hexagonal axes)
One atom of each set of equivalent atoms:
1 Dy 0.0000 0.0000 0.0000 [3 per cell]  4 Be 2.66-2.76
2 Be 0.0000 0.0000 0.7942 [3 per cell]  3 Ru 2.24
3 Ru 0.0000 0.0000 0.4897 [3 per cell]  3 Be 2.24

## Properties
DFT total energy = -17.779 eV per formula unit


DFT (PBE-GGA) results for a relaxed DyBe2Ru crystal.

Unit cell a=3.8752 b=3.8752 c=14.3957 alpha=90.00 beta=90.00 gamma=120.00
Last column: nearest neighbours and their distance in Å.
Space group R-3m (No. 166, hexagonal axes)
One atom of each set of equivalent atoms:
1 Dy 0.0000 0.0000 0.0000 [3 per cell]  8 Be 2.81-3.00
2 Be 0.0000 0.0000 0.1950 [6 per cell]  3 Ru 2.27, 3 Be 2.38
3 Ru 0.0000 0.0000 0.5000 [3 per cell]  6 Be 2.27

## Properties
DFT total energy = -22.286 eV per formula unit


DFT (PBE-GGA) results for a relaxed DyBeRu crystal.

Unit cell a=5.1687 b=5.2963 c=7.1086 alpha=90.00 beta=90.00 gamma=90.00
Last column: nearest neighbours and their distance in Å.
Space group Imma (No. 74)
One atom of each set of equivalent atoms:
1 Dy 0.0000 0.2500 0.1291 [4 per cell]  6 Ru 2.95-3.05, 6 Be 2.99-3.07, 4 Dy 3.10-3.22
2 Be 0.2500 0.2500 0.7500 [4 per cell]  4 Ru 2.57, 2 Be 2.58
3 Ru 0.0000 0.0000 0.5000 [4 per cell]  4 Be 2.57, 2 Ru 2.65

## Properties
DFT total energy = -18.387 eV per formula unit


DFT (PBE-GGA) results for a relaxed DyBeRu crystal.

Unit cell a=6.8680 b=4.1360 c=7.0301 alpha=90.00 beta=90.00 gamma=90.00
Last column: nearest neighbours and their distance in Å.
Space group Pnma (No. 62)
One atom of each set of equivalent atoms:
1 Dy 0.0053 0.2500 0.1971 [4 per cell]  4 Ru 2.86-2.93, 6 Be 2.86-3.06
2 Be 0.1850 0.2500 0.5913 [4 per cell]  4 Ru 2.37-2.57
3 Ru 0.1694 0.7500 0.4280 [4 per cell]  4 Be 2.37-2.57

## Properties
DFT total energy = -18.512 eV per formula unit


DFT (PBE-GGA) results for a relaxed DyBeRu crystal.

Unit cell a=3.9794 b=3.9794 c=3.7868 alpha=90.00 beta=90.00 gamma=120.00
Last column: nearest neighbours and their distance in Å.
Space group P-6m2 (No. 187)
One atom of each set of equivalent atoms:
1 Dy 0.0000 0.0000 0.0000 [1 per cell]  6 Ru 2.98, 6 Be 2.98
2 Be 0.6667 0.3333 0.5000 [1 per cell]  3 Ru 2.30
3 Ru 0.3333 0.6667 0.5000 [1 per cell]  3 Be 2.30

## Properties
DFT total energy = -18.449 eV per formula unit


DFT (PBE-GGA) results for a relaxed Dy2BeRu crystal.

Unit cell a=3.4362 b=3.4362 c=6.7089 alpha=90.00 beta=90.00 gamma=90.00
Last column: nearest neighbours and their distance in Å.
Space group P4/mmm (No. 123)
One atom of each set of equivalent atoms:
1 Dy 0.0000 0.0000 0.2476 [2 per cell]  4 Ru 2.94, 4 Be 2.96
2 Be 0.5000 0.5000 0.5000 [1 per cell]  8 Dy 2.96
3 Ru 0.5000 0.5000 0.0000 [1 per cell]  8 Dy 2.94

## Properties
DFT total energy = -22.818 eV per formula unit


DFT (PBE-GGA) results for a relaxed DyScBeRu crystal.

Unit cell a=6.6234 b=6.6234 c=6.6234 alpha=90.00 beta=90.00 gamma=90.00
Last column: nearest neighbours and their distance in Å.
Space group F-43m (No. 216)
One atom of each set of equivalent atoms:
1 Dy 0.0000 0.0000 0.0000 [4 per cell]  4 Ru 2.87, 4 Be 2.87
2 Sc 0.0000 0.0000 0.5000 [4 per cell]  4 Be 2.87, 4 Ru 2.87
3 Be 0.2500 0.2500 0.7500 [4 per cell]  4 Dy 2.87, 4 Sc 2.87
4 Ru 0.2500 0.2500 0.2500 [4 per cell]  4 Dy 2.87, 4 Sc 2.87

## Properties
DFT total energy = -24.768 eV per formula unit


DFT (PBE-GGA) results for a relaxed TbDyBeRu crystal.

Unit cell a=6.8434 b=6.8434 c=6.8434 alpha=90.00 beta=90.00 gamma=90.00
Last column: nearest neighbours and their distance in Å.
Space group F-43m (No. 216)
One atom of each set of equivalent atoms:
1 Tb 0.0000 0.0000 0.0000 [4 per cell]  4 Ru 2.96, 4 Be 2.96
2 Dy 0.0000 0.0000 0.5000 [4 per cell]  4 Be 2.96, 4 Ru 2.96
3 Be 0.2500 0.2500 0.7500 [4 per cell]  4 Tb 2.96, 4 Dy 2.96
4 Ru 0.2500 0.2500 0.2500 [4 per cell]  4 Dy 2.96, 4 Tb 2.96

## Properties
DFT total energy = -22.757 eV per formula unit


DFT (PBE-GGA) results for a relaxed DyTmBeRu crystal.

Unit cell a=6.7784 b=6.7784 c=6.7784 alpha=90.00 beta=90.00 gamma=90.00
Last column: nearest neighbours and their distance in Å.
Space group F-43m (No. 216)
One atom of each set of equivalent atoms:
1 Dy 0.0000 0.0000 0.0000 [4 per cell]  4 Ru 2.94, 4 Be 2.94
2 Tm 0.0000 0.0000 0.5000 [4 per cell]  4 Ru 2.94, 4 Be 2.94
3 Be 0.2500 0.2500 0.2500 [4 per cell]  4 Dy 2.94, 4 Tm 2.94
4 Ru 0.2500 0.2500 0.7500 [4 per cell]  4 Dy 2.94, 4 Tm 2.94

## Properties
DFT total energy = -22.783 eV per formula unit


DFT (PBE-GGA) results for a relaxed Dy5BeS4 crystal.

Unit cell a=8.7827 b=8.7827 c=5.5376 alpha=90.00 beta=90.00 gamma=90.00
Last column: nearest neighbours and their distance in Å.
Space group I4/m (No. 87)
One atom of each set of equivalent atoms:
1 Dy 0.0000 0.0000 0.0000 [2 per cell]  2 Be 2.77, 4 S 2.80
2 Dy 0.0985 0.7051 0.5000 [8 per cell]  1 Be 2.73, 5 S 2.76-2.81
3 Be 0.0000 0.0000 0.5000 [2 per cell]  6 Dy 2.73-2.77
4 S 0.0973 0.6968 0.0000 [8 per cell]  6 Dy 2.76-2.81

## Properties
Energy relative to the elements, uncorrected = -1611 meV/atom


DFT (PBE-GGA) results for a relaxed Dy4BeSe2S crystal.

Unit cell a=6.9851 b=3.9196 c=7.0587 alpha=90.00 beta=108.36 gamma=90.00
Last column: nearest neighbours and their distance in Å.
Space group P2/m (No. 10)
One atom of each set of equivalent atoms:
1 Dy 0.2385 0.0000 0.2329 [2 per cell]  2 Be 2.76, 1 S 2.82, 3 Se 2.88-2.93
2 Dy 0.2494 0.5000 0.7685 [2 per cell]  1 Be 2.74, 2 S 2.79, 3 Se 2.90-2.96
3 Be 0.0000 0.5000 0.0000 [1 per cell]  6 Dy 2.74-2.76
4 Se 0.0000 0.0000 0.5000 [1 per cell]  6 Dy 2.88-2.90
5 Se 0.5000 0.5000 0.5000 [1 per cell]  6 Dy 2.93-2.96
6 S 0.5000 0.0000 0.0000 [1 per cell]  6 Dy 2.79-2.82

## Properties
Energy relative to the elements, uncorrected = -1379 meV/atom


DFT (PBE-GGA) results for a relaxed Dy4BeSeS2 crystal.

Unit cell a=6.9145 b=3.8853 c=6.9633 alpha=90.00 beta=108.43 gamma=90.00
Last column: nearest neighbours and their distance in Å.
Space group P2/m (No. 10)
One atom of each set of equivalent atoms:
1 Dy 0.2457 0.0000 0.2359 [2 per cell]  3 S 2.76-2.87, 1 Be 2.76, 2 Se 2.86
2 Dy 0.2525 0.5000 0.7585 [2 per cell]  2 Be 2.78, 3 S 2.78-2.84, 1 Se 2.85
3 Be 0.5000 0.0000 0.0000 [1 per cell]  6 Dy 2.76-2.78
4 Se 0.5000 0.5000 0.5000 [1 per cell]  6 Dy 2.85-2.86
5 S 0.0000 0.0000 0.5000 [1 per cell]  6 Dy 2.84-2.87
6 S 0.0000 0.5000 0.0000 [1 per cell]  6 Dy 2.76-2.78

## Properties
Energy relative to the elements, uncorrected = -1415 meV/atom


DFT (PBE-GGA) results for a relaxed DyBeSb crystal.

Unit cell a=6.2804 b=6.2804 c=11.8605 alpha=90.00 beta=90.00 gamma=120.00
Last column: nearest neighbours and their distance in Å.
Space group P6_222 (No. 180)
One atom of each set of equivalent atoms:
1 Dy 0.0000 0.5000 0.3907 [6 per cell]  4 Be 2.68-2.83
2 Be 0.1809 0.5905 0.1667 [6 per cell]  1 Be 1.97
3 Sb 0.0000 0.0000 0.1667 [3 per cell]  4 Be 3.29, 4 Dy 3.40
4 Sb 0.0000 0.5000 0.6667 [3 per cell]  4 Be 3.06, 6 Dy 3.21-3.27

## Properties
Energy relative to the elements, uncorrected = 32 meV/atom


DFT (PBE-GGA) results for a relaxed Dy2ScBe crystal.

Unit cell a=3.3197 b=3.3197 c=33.3650 alpha=90.00 beta=90.00 gamma=120.00
Last column: nearest neighbours and their distance in Å.
Space group R-3m (No. 166, hexagonal axes)
One atom of each set of equivalent atoms:
1 Dy 0.0000 0.0000 0.0865 [6 per cell]  1 Be 2.89
2 Sc 0.0000 0.0000 0.5000 [3 per cell]  6 Dy 3.29, 6 Sc 3.32
3 Be 0.0000 0.0000 0.0000 [3 per cell]  2 Dy 2.89

## Properties
DFT total energy = -16.606 eV per formula unit


DFT (PBE-GGA) results for a relaxed Dy2ScBe crystal.

Unit cell a=3.4229 b=3.4229 c=8.1783 alpha=90.00 beta=90.00 gamma=90.00
Last column: nearest neighbours and their distance in Å.
Space group P4/mmm (No. 123)
One atom of each set of equivalent atoms:
1 Dy 0.0000 0.0000 0.2029 [2 per cell]  4 Be 2.93
2 Sc 0.5000 0.5000 0.5000 [1 per cell]  4 Sc 3.42, 8 Dy 3.43
3 Be 0.5000 0.5000 0.0000 [1 per cell]  8 Dy 2.93

## Properties
DFT total energy = -18.945 eV per formula unit


DFT (PBE-GGA) results for a relaxed DyScBe crystal.

Unit cell a=3.3283 b=3.3283 c=11.5673 alpha=90.00 beta=90.00 gamma=90.00
Last column: nearest neighbours and their distance in Å.
Space group I4mm (No. 107)
One atom of each set of equivalent atoms:
1 Dy 0.0000 0.0000 0.0000 [2 per cell]  4 Be 2.96, 1 Sc 3.16
2 Sc 0.0000 0.0000 0.2729 [2 per cell]  4 Be 2.72
3 Be 0.0000 0.0000 0.6555 [2 per cell]  4 Sc 2.72, 4 Dy 2.96

## Properties
DFT total energy = -14.504 eV per formula unit


Calculated magnetization in order - 0.00; 0.00; 0.00; 0.00; 0.00; 0.00; 0.00; 0.00; 0.00; 0.00; 0.00; 0.00; 0.00; 0.00; 0.00; 0.00; 0.00; 0.00; 0.00; 0.00; 0.00; 0.00; 0.00; 0.00; 0.00 μB/f.u.